1.
Pm2AlPd6: optimized geometry, PBE-GGA.

Unit cell a=5.7965 b=5.7965 c=5.7868 alpha=90.00 beta=90.00 gamma=120.00
Space group P-3m1 (No. 164)
Symmetry-distinct sites (fractional):
1 Pm 0.3333 0.6667 0.3111
2 Al 0.0000 0.0000 0.5000
3 Pd 0.1720 0.3439 0.8060

Properties
As for the formation energy: -0.843 eV/atom. The density of states at the Fermi level comes out at 3.34 states/eV per cell. For the calculated volume, the calculation gives 18.7 Å³ per atom. The magnetic moment is 0.0000 μB per atom. The uncorrected energy comes out at -5.7763 eV per atom.


2.
B5H9: optimized geometry, PBE-GGA.

Unit cell a=10.357 b=10.357 c=10.084 alpha=90.00 beta=90.00 gamma=90.00
Space group P4_1 (No. 76)
Symmetry-distinct sites (fractional):
1 B 0.111 0.193 0.009
2 B 0.113 0.354 0.945
3 B 0.136 0.216 0.504
4 B 0.167 0.319 0.099
5 B 0.173 0.377 0.556
6 B 0.196 0.701 0.198
7 B 0.209 0.722 0.802
8 B 0.249 0.736 0.353
9 B 0.279 0.370 0.989
10 B 0.336 0.357 0.500
11 H 0.030 0.114 0.030
12 H 0.032 0.426 0.907
13 H 0.047 0.145 0.518
14 H 0.090 0.331 0.464
15 H 0.092 0.239 0.885
16 H 0.107 0.639 0.160
17 H 0.118 0.457 0.618
18 H 0.129 0.782 0.717
19 H 0.136 0.361 0.205
20 H 0.145 0.647 0.864
21 H 0.185 0.195 0.382
22 H 0.208 0.705 0.458
23 H 0.219 0.372 0.870
24 H 0.242 0.438 0.461
25 H 0.263 0.656 0.701
26 H 0.302 0.663 0.129
27 H 0.355 0.456 0.990
28 H 0.418 0.568 0.260

Properties
The density of states at the Fermi level comes out at 0.00 states/eV per cell. For the calculated volume, the calculation gives 9.7 Å³ per atom. The magnetic moment is 0.0000 μB per atom. The uncorrected energy comes out at -4.6132 eV per atom.


How do the records compare in theoretical density? In the order shown, they have 9.4; 0.8 g cm⁻³.